# 1
# SrAcHS2

A geometry-optimized SrAcHS2 structure (PBE, the Alexandria database).

Properties
M_tot, μB/atom: 0.0000
E, Ry per atom: -0.3722

a b c (Å): 4.216 4.216 14.397
angles (deg): 90.00 90.00 90.00
Fractional coordinates of all 10 atoms:
S 0.000 0.500 0.094
Sr 0.500 0.000 0.593
S 0.500 0.000 0.321
H 0.000 0.000 0.500
S 0.500 0.000 0.906
S 0.000 0.500 0.679
Ac 0.000 0.500 0.867
H 0.500 0.500 0.500
Sr 0.000 0.500 0.407
Ac 0.500 0.000 0.133

# 2
# In4Hg4Pb

A geometry-optimized In4Hg4Pb structure (PBE, the Alexandria database).

Properties
M_tot, μB/atom: 0.0000
Calculated formation energy, meV/atom: 29
E, Ry per atom: -0.1275
Polymorph energy (0 for the lowest one), kJ/mol of atoms: 0.0

a b c (Å): 3.494 8.692 8.540
angles (deg): 87.18 79.40 94.59
Fractional coordinates of all 9 atoms:
In 0.323 0.991 0.342
Hg 0.051 0.339 0.653
In 0.560 0.328 0.992
In 0.440 0.672 0.008
Hg 0.949 0.661 0.347
Pb 0.000 0.000 0.000
Hg 0.308 0.676 0.663
Hg 0.692 0.324 0.337
In 0.677 0.009 0.658

# 3
# ZrCdSi2

A geometry-optimized ZrCdSi2 structure (PBE, the Alexandria database).

Properties
M_tot, μB/atom: 0.0000
E, Ry per atom: -0.3644

a b c (Å): 9.050 9.050 9.050
angles (deg): 19.94 19.94 19.94
Fractional coordinates of all 4 atoms:
Zr 0.507 0.507 0.507
Cd 0.744 0.744 0.744
Si 0.992 0.992 0.992
Si 0.258 0.258 0.258

# 4
# HoTmPu2Se5

A geometry-optimized HoTmPu2Se5 structure (PBE, the Alexandria database).

Properties
M_tot, μB/atom: 1.3197
E, Ry per atom: -0.5366

a b c (Å): 5.086 5.086 10.699
angles (deg): 90.00 90.00 90.00
Last column: magnetic moment on the atom in μB.
Fractional coordinates of all 9 atoms:
Se 0.500 0.500 0.000  -0.04
Pu 0.500 0.500 0.694  5.70
Ho 0.000 0.000 0.000  0.08
Tm 0.000 0.000 0.500  0.07
Se 0.000 0.000 0.245  -0.03
Se 0.000 0.000 0.755  -0.03
Se 0.000 0.500 0.500  -0.04
Pu 0.500 0.500 0.306  5.70
Se 0.500 0.000 0.500  -0.04